Record 1
Cu2Hg: optimized geometry, GGA-PBE.

a b c (Å): 2.9017 2.9017 7.0441
angles (deg): 90.00 90.00 122.78
With the nearest neighbours (Å) after each atom.
Sites, in units of the cell vectors:
Cu  0.0007  0.9993  0.8320  1 Cu 2.37
Cu  0.0007  0.9993  0.1680  1 Cu 2.37
Hg  0.3320  0.6680  0.5000  6 Hg 2.78-2.90, 6 Cu 2.85-2.88

Values from the calculation:
Calculated formation energy (eV/atom): 0.4475
Spin magnetization (μB/f.u.): 0.00

Record 2
Cu2Hg: optimized geometry, GGA-PBE.

a b c (Å): 5.1335 5.1335 6.5230
angles (deg): 70.39 70.39 34.92
With the nearest neighbours (Å) after each atom.
Sites, in units of the cell vectors:
Cu  0.4733  0.4733  0.7238  5 Cu 2.52-2.78
Cu  0.5267  0.5267  0.2762  5 Cu 2.52-2.78
Cu  0.1542  0.1542  0.4580  6 Cu 2.52-2.63, 3 Hg 2.77-2.78
Cu  0.8458  0.8458  0.5420  6 Cu 2.52-2.63, 3 Hg 2.77-2.78
Hg  0.1618  0.1618  0.8797  8 Cu 2.77-2.90, 3 Hg 3.00-3.08
Hg  0.8382  0.8382  0.1203  8 Cu 2.77-2.90, 3 Hg 3.00-3.08

Values from the calculation:
Calculated formation energy (eV/atom): 0.1490
Spin magnetization (μB/f.u.): 0.00

Record 3
CuHg2: optimized geometry, GGA-PBE.

a b c (Å): 5.3242 5.3242 5.3242
angles (deg): 67.69 67.69 67.69
With the nearest neighbours (Å) after each atom.
Sites, in units of the cell vectors:
Hg  0.8031  0.1969  0.5000  4 Cu 2.81-2.82, 4 Hg 2.91-3.11
Hg  0.5000  0.8031  0.1969  4 Cu 2.81-2.82, 4 Hg 2.91-3.11
Hg  0.1969  0.5000  0.8031  4 Cu 2.81-2.82, 4 Hg 2.91-3.11
Hg  0.0000  0.0000  0.0000  6 Hg 2.91
Cu  0.3229  0.3229  0.3229  6 Hg 2.81-2.82
Cu  0.6771  0.6771  0.6771  6 Hg 2.81-2.82

Values from the calculation:
Calculated formation energy (eV/atom): 0.2651
Spin magnetization (μB/f.u.): 0.00

VASP energy: -0.175, -0.197, -0.096 (Ry per atom)